Entry 1:
! SmHCl2 (PBE, optimized geometry); values from VASP
! **Spin magnetization**: 0.00 μB/f.u.
! **Electronic total energy**: -18.887 eV/f.u.
! **Space-group type**: No. 160
&SYSTEM
  ibrav = 0, nat = 4, ntyp = 3
/
ATOMIC_SPECIES
H 1.01 H.upf
Sm 150.36 Sm.upf
Cl 35.45 Cl.upf
ATOMIC_POSITIONS crystal
H 0.4692 0.2322 0.8295
Sm 0.1359 0.8989 0.8293
Cl 0.8861 0.6493 0.5784
Cl 0.7191 0.4815 0.0802
CELL_PARAMETERS angstrom
0.3293 -3.8090 -0.5825
1.7898 -1.3250 -3.1615
6.8566 -1.7115 2.2303

---

Entry 2:
! Sm2HCl (PBE, optimized geometry); values from VASP
! **Spin magnetization**: 0.00 μB/f.u.
! **Electronic total energy**: -18.189 eV/f.u.
! **Space-group type**: No. 166
&SYSTEM
  ibrav = 0, nat = 4, ntyp = 3
/
ATOMIC_SPECIES
H 1.01 H.upf
Cl 35.45 Cl.upf
Sm 150.36 Sm.upf
ATOMIC_POSITIONS crystal
H 0.0000 0.0000 0.0000
Cl 0.5000 0.5000 0.5000
Sm 0.2682 0.2682 0.1953
Sm 0.7318 0.7318 0.8047
CELL_PARAMETERS angstrom
3.6459 0.0000 0.0000
1.8230 3.1574 0.0000
1.8230 1.0525 7.1233

---

Entry 3:
! Sn2HCl (PBE, optimized geometry); values from VASP
! **Spin magnetization**: 0.00 μB/f.u.
! **Distance to the lowest polymorph of the same formula**: 0.0 meV/atom
! **Space-group type**: No. 122
&SYSTEM
  ibrav = 0, nat = 8, ntyp = 3
/
ATOMIC_SPECIES
H 1.01 H.upf
Cl 35.45 Cl.upf
Sn 118.71 Sn.upf
ATOMIC_POSITIONS crystal
H 0.2500 0.7500 0.5000
H 0.5000 0.5000 0.0000
Cl 0.7500 0.2500 0.5000
Cl 0.0000 0.0000 0.0000
Sn 0.2515 0.6250 0.2500
Sn 0.4985 0.1250 0.2500
Sn 0.8750 0.7485 0.7500
Sn 0.3750 0.5015 0.7500
CELL_PARAMETERS angstrom
5.7444 0.0000 0.0000
0.0000 5.7444 0.0000
2.8722 2.8722 6.1516

---

Entry 4:
! Sn5H2Cl12 (PBE, optimized geometry); values from VASP
! **Spin magnetization**: 0.00 μB/f.u.
! **Electronic total energy**: -64.527 eV/f.u.
! **Space-group type**: No. 12
&SYSTEM
  ibrav = 0, nat = 19, ntyp = 3
/
ATOMIC_SPECIES
Cl 35.45 Cl.upf
Sn 118.71 Sn.upf
H 1.01 H.upf
ATOMIC_POSITIONS crystal
Cl 0.6589 0.7078 0.9453
Cl 0.5323 0.0645 0.7475
Cl 0.6051 0.5673 0.3900
Cl 0.0489 0.7078 0.9454
Cl 0.0378 0.4327 0.6100
Cl 0.0363 0.0726 0.7481
Cl 0.4677 0.9355 0.2525
Cl 0.3949 0.4327 0.6100
Cl 0.9511 0.2922 0.0546
Cl 0.9622 0.5673 0.3900
Cl 0.3411 0.2922 0.0547
Cl 0.9637 0.9274 0.2519
Sn 0.6516 0.3032 0.2297
Sn 0.3484 0.6968 0.7703
Sn 0.7609 0.5218 0.0293
Sn 0.0000 0.0000 0.5000
Sn 0.2391 0.4782 0.9707
H 0.1869 0.0000 0.0000
H 0.8131 0.0000 0.0000
CELL_PARAMETERS angstrom
9.8931 0.0000 0.0000
-4.9465 5.1422 -3.6010
0.0000 0.3020 12.8138

---

Entry 5:
! SnH6Cl12 (PBE, optimized geometry); values from VASP
! **Spin magnetization**: 1.88 μB/f.u.
! **Electronic total energy**: -55.112 eV/f.u.
! **Space-group type**: No. 2
&SYSTEM
  ibrav = 0, nat = 19, ntyp = 3
/
ATOMIC_SPECIES
Cl 35.45 Cl.upf
H 1.01 H.upf
Sn 118.71 Sn.upf
ATOMIC_POSITIONS crystal
Cl 0.6883 0.8456 0.8472
Cl 0.1343 0.1096 0.3247
Cl 0.7446 0.1373 0.3019
Cl 0.1380 0.4273 0.2117
Cl 0.8657 0.8904 0.6753
Cl 0.8620 0.5727 0.7883
Cl 0.2204 0.3268 0.8476
Cl 0.2708 0.7609 0.0356
Cl 0.7292 0.2391 0.9644
Cl 0.3117 0.1544 0.1528
Cl 0.2554 0.8627 0.6981
Cl 0.7796 0.6732 0.1524
H 0.7251 0.0327 0.1488
H 0.0825 0.1696 0.7907
H 0.2749 0.9673 0.8512
H 0.9126 0.3413 0.0804
H 0.9175 0.8304 0.2093
H 0.0874 0.6587 0.9196
Sn 0.0000 0.0000 0.0000
CELL_PARAMETERS angstrom
1.6154 -10.1243 -5.2013
7.2494 1.3581 4.3504
-9.4564 2.7807 4.5372

---

Entry 6:
! SnH2Cl (PBE, optimized geometry); values from VASP
! **Spin magnetization**: 0.00 μB/f.u.
! **Distance to the lowest polymorph of the same formula**: 89.2 meV/atom
! **Space-group type**: No. 141
&SYSTEM
  ibrav = 0, nat = 8, ntyp = 3
/
ATOMIC_SPECIES
H 1.01 H.upf
Cl 35.45 Cl.upf
Sn 118.71 Sn.upf
ATOMIC_POSITIONS crystal
H 0.3750 0.1250 0.7500
H 0.8750 0.1250 0.2500
H 0.8750 0.6250 0.2500
H 0.8750 0.1250 0.7500
Cl 0.5000 0.5000 0.0000
Cl 0.2500 0.7500 0.5000
Sn 0.7500 0.2500 0.5000
Sn 0.0000 0.0000 0.0000
CELL_PARAMETERS angstrom
-2.7192 -2.9446 -2.2201
3.1390 -3.2959 0.5267
-2.3467 -4.7164 4.4017

---

Entry 7:
! Sn2HCl (PBE, optimized geometry); values from VASP
! **Spin magnetization**: 0.00 μB/f.u.
! **Distance to the lowest polymorph of the same formula**: 250.2 meV/atom
! **Space-group type**: No. 225
&SYSTEM
  ibrav = 0, nat = 4, ntyp = 3
/
ATOMIC_SPECIES
Sn 118.71 Sn.upf
Cl 35.45 Cl.upf
H 1.01 H.upf
ATOMIC_POSITIONS crystal
Sn 0.7500 0.7500 0.7500
Sn 0.2500 0.2500 0.2500
Cl 0.5000 0.5000 0.5000
H 0.0000 0.0000 0.0000
CELL_PARAMETERS angstrom
-2.1078 -1.1279 4.3603
-0.5209 3.5037 3.4900
-4.5190 1.7561 1.1051

---

Entry 8:
! SnH2Cl2 (PBE, optimized geometry); values from VASP
! **Spin magnetization**: 0.00 μB/f.u.
! **Distance to the lowest polymorph of the same formula**: 0.0 meV/atom
! **Space-group type**: No. 12
&SYSTEM
  ibrav = 0, nat = 5, ntyp = 3
/
ATOMIC_SPECIES
Sn 118.71 Sn.upf
Cl 35.45 Cl.upf
H 1.01 H.upf
ATOMIC_POSITIONS crystal
Sn 0.0000 0.0000 0.0000
Cl 0.1483 0.2965 0.7119
Cl 0.8517 0.7035 0.2881
H 0.5726 0.1451 0.1719
H 0.4274 0.8549 0.8281
CELL_PARAMETERS angstrom
-0.1483 0.2593 3.1988
-4.9375 -3.0251 -1.5970
2.9189 -4.4549 0.4965

---

Entry 9:
! SnHCl4 (PBE, optimized geometry); values from VASP
! **Spin magnetization**: 0.00 μB/f.u.
! **Electronic total energy**: -18.859 eV/f.u.
! **Space-group type**: No. 15
&SYSTEM
  ibrav = 0, nat = 12, ntyp = 3
/
ATOMIC_SPECIES
Cl 35.45 Cl.upf
H 1.01 H.upf
Sn 118.71 Sn.upf
ATOMIC_POSITIONS crystal
Cl 0.0900 0.7793 0.1032
Cl 0.8461 0.5980 0.6394
Cl 0.9100 0.2207 0.8968
Cl 0.1539 0.4020 0.3606
Cl 0.7066 0.9586 0.3606
Cl 0.2934 0.0414 0.6394
Cl 0.5132 0.3239 0.1032
Cl 0.4868 0.6761 0.8968
H 0.0823 0.8323 0.6646
H 0.9177 0.1677 0.3354
Sn 0.6855 0.4355 0.8709
Sn 0.3145 0.5645 0.1291
CELL_PARAMETERS angstrom
6.7240 -1.3064 0.0000
-2.3963 6.7269 0.0000
-2.1639 -2.7103 8.0956

---

Entry 10:
! SnH3Cl (PBE, optimized geometry); values from VASP
! **Spin magnetization**: 0.00 μB/f.u.
! **Electronic total energy**: -10.986 eV/f.u.
! **Space-group type**: No. 221
&SYSTEM
  ibrav = 0, nat = 5, ntyp = 3
/
ATOMIC_SPECIES
H 1.01 H.upf
Cl 35.45 Cl.upf
Sn 118.71 Sn.upf
ATOMIC_POSITIONS crystal
H 0.5000 0.0000 0.0000
H 0.0000 0.0000 0.5000
H 0.0000 0.5000 0.0000
Cl 0.0000 0.0000 0.0000
Sn 0.5000 0.5000 0.5000
CELL_PARAMETERS angstrom
-3.5639 0.2460 -1.5601
-0.9519 -3.4073 1.6371
-1.2604 1.8777 3.1752

---

Entry 11:
! SnH2Cl (PBE, optimized geometry); values from VASP
! **Spin magnetization**: 0.00 μB/f.u.
! **Distance to the lowest polymorph of the same formula**: 0.0 meV/atom
! **Space-group type**: No. 14
&SYSTEM
  ibrav = 0, nat = 16, ntyp = 3
/
ATOMIC_SPECIES
Sn 118.71 Sn.upf
H 1.01 H.upf
Cl 35.45 Cl.upf
ATOMIC_POSITIONS crystal
Sn 0.0114 0.5323 0.2518
Sn 0.4886 0.0323 0.7518
Sn 0.9886 0.4677 0.7482
Sn 0.5114 0.9677 0.2482
H 0.9901 0.5576 0.8773
H 0.9886 0.0885 0.7751
H 0.5114 0.5885 0.2751
H 0.4901 0.9424 0.6227
H 0.5099 0.0576 0.3773
H 0.0099 0.4424 0.1227
H 0.4886 0.4115 0.7249
H 0.0114 0.9115 0.2249
Cl 0.0086 0.2905 0.4687
Cl 0.5086 0.2095 0.0313
Cl 0.9914 0.7095 0.5313
Cl 0.4914 0.7905 0.9687
CELL_PARAMETERS angstrom
-3.0671 -2.0541 0.1258
4.6621 -6.7043 4.1955
-0.3002 1.0476 9.7868

---

Entry 12:
! SnH2Cl2 (PBE, optimized geometry); values from VASP
! **Spin magnetization**: 1.99 μB/f.u.
! **Distance to the lowest polymorph of the same formula**: 392.0 meV/atom
! **Space-group type**: No. 164
&SYSTEM
  ibrav = 0, nat = 5, ntyp = 3
/
ATOMIC_SPECIES
Cl 35.45 Cl.upf
Sn 118.71 Sn.upf
H 1.01 H.upf
ATOMIC_POSITIONS crystal
Cl 0.3335 0.3335 0.1453
Cl 0.6665 0.6665 0.8547
Sn 0.0000 0.0000 0.0000
H 0.3335 0.3335 0.6225
H 0.6665 0.6665 0.3775
CELL_PARAMETERS angstrom
4.2914 0.0012 -0.0086
2.1464 3.7160 -0.0086
0.0135 0.0078 10.2110

---

| no. | mass density (Mg/m³) |
| --- | --- |
| 1 | 4.03 |
| 2 | 6.83 |
| 3 | 4.48 |
| 4 | 2.56 |
| 5 | 1.61 |
| 6 | 4.08 |
| 7 | 5.23 |
| 8 | 3.20 |
| 9 | 2.55 |
| 10 | 4.41 |
| 11 | 3.33 |
| 12 | 1.95 |